Crystalline MnBr3N at its relaxed geometry, computed with PBE.

Cell and atoms, written as POSCAR:
```
MnBr3N
1.0
4.7187 0.0000 0.0000
0.0000 4.7187 0.0000
0.0000 0.0000 4.7187
N Br Mn
1 3 1
Cartesian
0.0000 0.0000 0.0000
0.0000 2.3593 0.0000
2.3593 0.0000 0.0000
0.0000 0.0000 2.3593
2.3593 2.3593 2.3593
```

ΔE_f (raw): 0.93 eV/atom
N(E_F): 1.7 states/eV/cell